No. 1
VASP calculation (GGA-PBE) on an optimized crystal structure of La4Pr3Nd5.

Unit cell a=6.1811 b=8.8761 c=10.0099 alpha=106.01 beta=72.02 gamma=69.62
Element x y z (fractional)
La 0.8564 0.2271 0.0600
La 0.1663 0.0454 0.6219
La 0.8337 0.9546 0.3781
La 0.1436 0.7729 0.9400
Pr 0.5154 0.6937 0.2755
Pr 0.0000 0.5000 0.5000
Pr 0.4846 0.3063 0.7245
Nd 0.6254 0.9477 0.8016
Nd 0.5000 0.5000 0.5000
Nd 0.2189 0.4526 0.1097
Nd 0.7811 0.5474 0.8903
Nd 0.3746 0.0523 0.1984

Formation enthalpy at 0 K: 181 meV/atom
N(E_F): 21.488 states/eV/cell
Energy above the most stable polymorph in this dataset: 2.017 eV/f.u.
Crystal system: monoclinic


No. 2
VASP calculation (GGA-PBE) on an optimized crystal structure of CaNdTc2O8.

Unit cell a=5.3008 b=5.3008 c=6.9293 alpha=112.49 beta=112.49 gamma=90.00
Each line ends with the local moment (μB).
Element x y z (fractional)
Ca 0.0000 0.0000 0.0000  0.02
Nd 0.7500 0.2500 0.5000  0.06
Tc 0.5000 0.5000 0.0000  0.99
Tc 0.2500 0.7500 0.5000  1.04
O 0.7341 0.8326 0.1635  0.07
O 0.4294 0.3308 0.1635  0.07
O 0.5831 0.6770 0.6617  0.07
O 0.0786 0.9847 0.6617  0.07
O 0.0153 0.4169 0.3383  0.07
O 0.3230 0.9214 0.3383  0.07
O 0.1674 0.5706 0.8365  0.07
O 0.6692 0.2659 0.8365  0.07

Energy relative to the elements, uncorrected: -2445 kJ/mol of formula units
N(E_F): 4.789 states/eV/cell
Crystal system: tetragonal